Entry from Alexandria via LeMat-Bulk: crystalline Co2NiBr at its relaxed geometry (PBE-GGA).

* V: 52.98 Å³ per cell
* energy relative to the lowest polymorph listed for this composition: 1.453 eV/f.u.
* space-group type: No. 225
* formation energy (no corrections): 17.63 kcal/mol of atoms

a b c (Å): 4.216 4.216 4.216
angles (deg): 60.00 60.00 60.00
Fractional coordinates of all 4 atoms:
Co1 0.250 0.250 0.250
Co2 0.750 0.750 0.750
Br1 0.500 0.500 0.500
Ni1 0.000 0.000 0.000